No. 1
Pm5Dy2Mg PBE relaxed; crystal system = tetragonal; raw total energy = -4.31 eV per atom; energy above the lowest structure with this stoichiometry = 7.7 meV/atom
1.0
7.170 0.000 0.000
0.000 7.170 0.000
-3.585 -3.585 4.996
Pm Dy Mg
5 2 1
Direct
0.222 0.722 0.944
0.722 0.222 0.944
0.722 0.722 0.444
0.222 0.222 0.944
0.722 0.722 0.944
0.722 0.222 0.444
0.222 0.722 0.444
0.222 0.222 0.444

---

No. 2
Pm7Dy3Mg PBE relaxed; crystal system = monoclinic; raw total energy = -4.20 eV per atom; energy above the lowest structure with this stoichiometry = 45.4 meV/atom
1.0
6.411 0.164 -0.480
-0.502 7.712 0.323
0.234 0.571 7.710
Pm Dy Mg
7 3 1
Direct
0.262 0.568 0.904
0.214 0.242 0.242
0.738 0.432 0.096
0.786 0.758 0.758
0.738 0.096 0.432
0.000 0.500 0.500
0.262 0.904 0.568
0.500 0.000 0.000
0.000 0.164 0.836
0.000 0.836 0.164
0.500 0.500 0.500

---

No. 3
Pm3Dy4Mg PBE relaxed; crystal system = orthorhombic; raw total energy = -4.20 eV per atom; energy above the lowest structure with this stoichiometry = 82.6 meV/atom
1.0
3.432 0.000 -0.831
-1.195 10.443 -4.937
0.220 -2.454 8.415
Pm Dy Mg
3 4 1
Direct
0.000 0.500 0.000
0.766 0.766 0.532
0.234 0.234 0.468
0.366 0.621 0.733
0.366 0.112 0.733
0.634 0.888 0.267
0.634 0.379 0.267
0.500 0.000 0.000

---

No. 4
PmDyMg3 PBE relaxed; crystal system = trigonal; raw total energy = -2.81 eV per atom
1.0
8.786 1.622 1.164
5.562 6.992 1.164
5.562 3.339 6.253
Mg Dy Pm
6 2 2
Direct
0.390 0.878 0.878
0.878 0.878 0.390
0.122 0.610 0.122
0.610 0.122 0.122
0.122 0.122 0.610
0.878 0.390 0.878
0.166 0.166 0.166
0.834 0.834 0.834
0.568 0.568 0.568
0.432 0.432 0.432

---

No. 5
PmDyMg PBE relaxed; crystal system = tetragonal; raw total energy = -3.44 eV per atom; energy above the lowest structure with this stoichiometry = 252.5 meV/atom
1.0
4.704 0.000 0.000
0.000 4.704 0.000
0.000 0.000 8.372
Dy Pm Mg
2 2 2
Direct
0.500 0.000 0.727
0.000 0.500 0.273
0.000 0.500 0.691
0.500 0.000 0.309
0.000 0.000 0.000
0.500 0.500 0.000

---

No. 6
PmDy2Mg PBE relaxed; crystal system = monoclinic; raw total energy = -3.84 eV per atom; energy above the lowest structure with this stoichiometry = 77.4 meV/atom
1.0
-2.956 1.824 0.658
-1.002 0.613 3.334
4.634 10.464 1.349
Pm Mg Dy
1 1 2
Direct
0.667 0.667 0.999
0.499 0.499 0.500
0.086 0.086 0.743
0.247 0.247 0.258

---

No. 7
PmDy5Mg2 PBE relaxed; crystal system = orthorhombic; raw total energy = -3.84 eV per atom
1.0
3.467 0.000 0.000
1.733 8.418 -0.014
1.733 1.532 8.277
Dy Mg Pm
5 2 1
Direct
0.632 0.597 0.139
0.368 0.861 0.403
0.368 0.403 0.861
0.632 0.139 0.597
0.000 0.500 0.500
0.743 0.757 0.757
0.257 0.243 0.243
0.000 0.000 0.000

---

No. 8
Pm4Dy4Mg PBE relaxed; crystal system = triclinic; raw total energy = -4.32 eV per atom
1.0
-6.550 -3.643 -2.710
2.633 -5.613 -3.480
6.467 -8.299 7.367
Pm Mg Dy
8 2 8
Direct
0.279 0.972 0.943
0.944 0.804 0.614
0.055 0.696 0.390
0.835 0.913 0.834
0.056 0.196 0.386
0.165 0.087 0.166
0.945 0.304 0.610
0.721 0.028 0.057
0.608 0.639 0.278
0.392 0.361 0.722
0.723 0.524 0.058
0.500 0.753 0.500
0.277 0.476 0.942
0.826 0.417 0.831
0.612 0.138 0.278
0.388 0.862 0.722
0.500 0.247 0.500
0.174 0.583 0.169

---

No. 9
Pm3Dy4Mg4 PBE relaxed; crystal system = orthorhombic; raw total energy = -3.45 eV per atom
1.0
5.487 0.000 0.000
0.000 7.001 0.000
-2.744 -3.501 8.749
Dy Pm Mg
4 3 4
Direct
0.314 0.552 0.628
0.686 0.448 0.372
0.314 0.076 0.628
0.686 0.924 0.372
0.000 0.500 0.000
0.891 0.891 0.782
0.109 0.109 0.218
0.500 0.216 0.000
0.828 0.328 0.656
0.172 0.672 0.344
0.500 0.784 0.000

---

No. 10
Pm7Dy3Mg PBE relaxed; crystal system = trigonal; raw total energy = -4.24 eV per atom; energy above the lowest structure with this stoichiometry = 0.0 meV/atom
1.0
-7.051 -5.006 -0.344
3.162 -4.745 4.228
-3.863 5.247 2.819
Mg Dy Pm
1 3 7
Direct
0.450 0.333 0.667
0.784 0.998 0.499
0.784 0.501 0.002
0.784 0.501 0.499
0.451 0.831 0.169
0.116 0.667 0.333
0.115 0.666 0.833
0.451 0.831 0.662
0.451 0.338 0.169
0.115 0.167 0.833
0.115 0.167 0.334

---

No. 11
Pm2DyMg9 PBE relaxed; crystal system = trigonal; raw total energy = -2.41 eV per atom
1.0
6.067 0.000 0.000
3.034 5.255 0.000
3.034 1.752 9.799
Pm Dy Mg
2 1 9
Direct
0.858 0.858 0.425
0.142 0.142 0.575
0.000 0.000 0.000
0.415 0.415 0.250
0.921 0.415 0.250
0.079 0.585 0.750
0.500 0.500 0.500
0.585 0.585 0.750
0.415 0.921 0.250
0.585 0.079 0.750
0.666 0.666 0.002
0.334 0.334 0.998

---

No. 12
Pm7Dy2Mg2 PBE relaxed; crystal system = monoclinic; raw total energy = -3.97 eV per atom; energy above the lowest structure with this stoichiometry = 62.4 meV/atom
1.0
6.610 -0.553 -1.256
-1.794 7.203 -2.123
-0.484 0.576 7.684
Pm Dy Mg
7 2 2
Direct
0.201 0.423 0.929
0.000 0.000 0.000
0.799 0.071 0.577
0.799 0.577 0.071
0.201 0.929 0.423
0.479 0.665 0.665
0.521 0.335 0.335
0.500 0.137 0.863
0.500 0.863 0.137
0.026 0.343 0.343
0.974 0.657 0.657